The following is a DFT calculation (PBE) of crystalline TaS2O8F at its relaxed geometry.

Summary:
E_form (uncorrected), eV/f.u.: -18.67
Magnetic moment, μB per cell: 0.000
Space group: P-3m1, No. 164
Electronic total energy, eV per atom: -6.693

a b c (Å): 5.671 5.671 4.701
angles (deg): 90.00 90.00 120.00
Atoms (fractional coordinates):
Ta1 0.000 0.000 0.000
S1 0.333 0.667 0.287
S2 0.667 0.333 0.713
O1 0.193 0.385 0.168
O2 0.193 0.807 0.168
O3 0.333 0.667 0.590
O4 0.385 0.193 0.832
O5 0.615 0.807 0.168
O6 0.667 0.333 0.410
O7 0.807 0.193 0.832
O8 0.807 0.615 0.832
F1 0.000 0.000 0.500